A plane-wave DFT calculation with PBE was carried out for an optimized crystal structure of RbBa2Pt2.

a = 9.0271 Å, b = 9.0271 Å, c = 4.1295 Å
α = 90.00°, β = 90.00°, γ = 90.00°
Positions (direct):
Pt1 0.3576 0.8576 0.0000
Ba1 0.6476 0.8524 0.5000
Rb1 0.0000 0.0000 0.0000
Ba2 0.8524 0.3524 0.5000
Pt2 0.8576 0.6424 0.0000
Pt3 0.1424 0.3576 0.0000
Ba3 0.3524 0.1476 0.5000
Pt4 0.6424 0.1424 0.0000
Rb2 0.5000 0.5000 0.0000
Ba4 0.1476 0.6476 0.5000

Fermi-level density of states: 0.4873 states/eV/atom
crystal system: tetragonal
relative energy among the computed polymorphs: 0.0 kJ/mol of atoms
space group: P4/mbm (127)